# TcHg2, relaxed, DFT PBE-GGA
# total DFT energy (no corrections): -3.189 eV/atom
# ΔH_f (0 K): 0.468 eV/atom
data_TcHg2
_cell_length_a 11.465
_cell_length_b 3.007
_cell_length_c 8.007
_cell_angle_alpha 90.00
_cell_angle_beta 117.35
_cell_angle_gamma 90.00
_symmetry_space_group_name_H-M 'C 1 2/m 1'
_symmetry_Int_Tables_number 12
_symmetry_space_group_name_Hall '-C 2y'
loop_
_atom_site_label
_atom_site_fract_x
_atom_site_fract_y
_atom_site_fract_z
_atom_site_occupancy
Tc1 0.190 0.000 0.049 1
Hg1 0.035 0.500 0.225 1
Hg2 0.156 0.000 0.609 1

***

# TcHg2, relaxed, DFT PBE-GGA
# total DFT energy (no corrections): -3.178 eV/atom
# ΔH_f (0 K): 0.479 eV/atom
data_TcHg2
_cell_length_a 4.840
_cell_length_b 2.856
_cell_length_c 19.847
_cell_angle_alpha 90.00
_cell_angle_beta 90.00
_cell_angle_gamma 90.00
_symmetry_space_group_name_H-M 'A m m 2'
_symmetry_Int_Tables_number 38
_symmetry_space_group_name_Hall 'A 2 -2'
loop_
_atom_site_label
_atom_site_fract_x
_atom_site_fract_y
_atom_site_fract_z
_atom_site_occupancy
Tc1 0.000 0.000 0.000 1
Tc2 0.000 0.000 0.397 1
Hg1 0.000 0.000 0.633 1
Hg2 0.500 0.000 0.218 1
Hg3 0.500 0.000 0.521 1
Hg4 0.500 0.000 0.865 1

***

# TcHg5, relaxed, DFT PBE-GGA
# total DFT energy (no corrections): -1.470 eV/atom
# ΔH_f (0 K): 0.509 eV/atom
data_TcHg5
_cell_length_a 5.7312
_cell_length_b 5.7312
_cell_length_c 4.6585
_cell_angle_alpha 90.00
_cell_angle_beta 90.00
_cell_angle_gamma 120.00
_symmetry_space_group_name_H-M 'P -6 2 m'
_symmetry_Int_Tables_number 189
_symmetry_space_group_name_Hall 'P -6 -2'
loop_
_atom_site_label
_atom_site_fract_x
_atom_site_fract_y
_atom_site_fract_z
_atom_site_occupancy
Tc1 0.0000 0.0000 0.0000 1
Hg1 0.0000 0.6880 0.5000 1
Hg2 0.3333 0.6667 0.0000 1

***

# Tc5Hg, relaxed, DFT PBE-GGA
# total DFT energy (no corrections): -8.452 eV/atom
# ΔH_f (0 K): 0.237 eV/atom
data_Tc5Hg
_cell_length_a 4.450
_cell_length_b 2.815
_cell_length_c 14.793
_cell_angle_alpha 90.00
_cell_angle_beta 90.00
_cell_angle_gamma 90.00
_symmetry_space_group_name_H-M 'A m m 2'
_symmetry_Int_Tables_number 38
_symmetry_space_group_name_Hall 'A 2 -2'
loop_
_atom_site_label
_atom_site_fract_x
_atom_site_fract_y
_atom_site_fract_z
_atom_site_occupancy
Tc1 0.000 0.000 0.000 1
Tc2 0.000 0.000 0.313 1
Tc3 0.000 0.000 0.657 1
Tc4 0.500 0.000 0.103 1
Tc5 0.500 0.000 0.757 1
Hg1 0.500 0.000 0.430 1